This record from Alexandria describes crystalline RbNbGeO2 at its relaxed geometry. The functional is PBE.

The structure in POSCAR format:
```
RbNbGeO2
1.0
4.1191 0.0000 0.0000
0.0000 4.1191 0.0000
0.0000 0.0000 5.9257
Rb Nb Ge O
1 1 1 2
Cartesian
0.0000 0.0000 0.0000 Rb
2.0595 2.0595 2.9629 Nb
0.0000 0.0000 2.9629 Ge
0.0000 2.0595 0.0000 O
2.0595 0.0000 0.0000 O
```

Computed properties:
The value obtained for the formation energy from raw total energies is 126.6 kJ/mol of atoms. As for the volume: 100.54 Å³ per cell. Its crystal system is tetragonal.